(1)
# Sc2CdSbAu, optimized geometry, DFT PBE
# - formation energy (no corrections) (eV/atom) = -0.10
# - crystal system = tetragonal
data_Sc2CdSbAu
_chemical_formula_sum 'Sc2 Cd1 Sb1 Au1'
_cell_length_a 5.199
_cell_length_b 5.199
_cell_length_c 5.110
_cell_angle_alpha 90.00
_cell_angle_beta 90.00
_cell_angle_gamma 90.00
_space_group_name_H-M_alt 'P 4/m m m'
_space_group_IT_number 123
_space_group_name_Hall '-P 4 2'
loop_
_atom_site_label
_atom_site_type_symbol
_atom_site_fract_x
_atom_site_fract_y
_atom_site_fract_z
Sc1 Sc 0.000 0.500 0.000
Cd1 Cd 0.000 0.000 0.500
Sb1 Sb 0.500 0.500 0.500
Au1 Au 0.000 0.000 0.000

=====

(2)
# TaTlP2, optimized geometry, DFT PBE
# - distance to the lowest polymorph of the same formula (eV per atom) = 0.175
# - ΔH_f (0 K) (eV per atom) = -0.027
# - crystal system = orthorhombic
data_TaTlP2
_chemical_formula_sum 'Ta2 Tl2 P4'
_cell_length_a 3.634
_cell_length_b 4.829
_cell_length_c 9.457
_cell_angle_alpha 90.00
_cell_angle_beta 90.00
_cell_angle_gamma 90.00
_space_group_name_H-M_alt 'C m m m'
_space_group_IT_number 65
_space_group_name_Hall '-C 2 2'
loop_
_atom_site_label
_atom_site_type_symbol
_atom_site_fract_x
_atom_site_fract_y
_atom_site_fract_z
Ta1 Ta 0.000 0.000 0.000
Tl1 Tl 0.000 0.000 0.500
P1 P 0.000 0.500 0.186

=====

no.,total DFT energy (no corrections) (eV/atom),total magnetic moment (μB/f.u.),Fermi-level density of states (states/eV per atom)
1,-4.2998,0.00,0.75
2,-6.2862,0.00,0.27